# GGA-PBEsol KSbRh, relaxed
data_KSbRh
_cell_length_a 4.801
_cell_length_b 4.801
_cell_length_c 4.801
_cell_angle_alpha 60.00
_cell_angle_beta 60.00
_cell_angle_gamma 60.00
_space_group_name_H-M_alt 'P 1'
_space_group_IT_number 1
loop_
_space_group_symop_operation_xyz
'x,y,z'
loop_
_atom_site_label
_atom_site_type_symbol
_atom_site_fract_x
_atom_site_fract_y
_atom_site_fract_z
_atom_site_occupancy
K1 K 0.000 0.000 0.000 1
Sb1 Sb 0.250 0.250 0.250 1
Rh1 Rh 0.750 0.750 0.750 1
# magnetic moment	0.000	μB/atom
# VASP energy	-3.330	eV per atom
# Fermi-level density of states	3.454	states/eV per cell
# SG	F-43m